1 | Crystalline Ho2W3O12 at its relaxed geometry, computed with PBEsol.

POSCAR file:
```
Ho2W3O12
1.0
3.779 -5.575 0.000
3.779 5.575 0.000
-3.634 0.000 10.609
Ho W O
4 6 24
Cartesian
0.922 1.377 0.975
-0.895 -1.377 6.279
4.819 1.377 4.329
3.002 -1.377 9.634
2.871 4.084 2.652
1.043 1.215 4.740
-0.774 -1.215 10.045
4.698 1.215 0.564
2.882 -1.215 5.869
1.054 -4.084 7.957
2.405 3.244 1.101
-0.673 0.533 4.854
1.055 2.061 3.143
-1.329 0.440 7.646
-2.490 -0.533 10.158
0.488 -0.440 2.341
1.336 2.457 5.955
0.772 2.457 9.958
3.337 3.244 4.204
3.009 0.413 0.816
-0.762 -2.061 8.448
1.192 -0.413 6.120
2.733 0.413 4.489
4.687 2.061 2.161
0.916 -0.413 9.793
0.588 -3.244 6.405
3.153 -2.457 0.650
2.588 -2.457 4.654
3.437 0.440 8.268
6.415 0.533 0.450
5.253 -0.440 2.963
2.870 -2.061 7.465
4.598 -0.533 5.755
1.520 -3.244 9.508
```

## Properties
DOS(E_F) = 0.0 states/eV/f.u.

2 | Crystalline Ho2W3O12 at its relaxed geometry, computed with PBEsol.

POSCAR file:
```
Ho2W3O12
1.0
10.013 0.000 0.000
0.000 10.111 0.000
-10.010 0.000 14.033
Ho W O
8 12 48
Cartesian
-2.506 0.315 5.368
-7.511 4.740 12.384
2.499 0.312 1.648
-2.506 4.744 8.665
2.510 5.368 5.368
-2.495 9.799 12.385
7.514 5.371 1.649
2.510 9.796 8.665
-9.758 7.584 14.028
-4.754 7.583 7.012
-6.105 1.153 12.031
-1.100 3.903 5.015
-3.904 6.212 12.032
1.101 8.955 5.016
-1.097 1.156 9.017
3.908 3.900 2.001
1.104 6.208 9.018
6.109 8.959 2.002
9.762 2.527 0.005
4.757 2.529 7.021
-0.786 6.714 1.160
-5.790 8.453 8.176
-8.730 6.423 13.147
-3.725 8.743 6.130
-6.822 0.207 10.696
-1.817 4.849 3.679
0.782 1.655 1.171
-4.223 3.401 8.187
-3.724 6.424 7.896
1.281 8.742 0.880
-1.416 2.162 4.771
-6.421 2.893 11.788
-6.832 0.642 13.576
-1.828 4.413 6.559
-5.667 5.929 12.085
-0.662 9.238 5.068
-1.822 0.643 7.472
3.183 4.413 0.456
-4.342 0.873 12.088
0.663 4.183 5.072
-3.183 5.270 10.696
1.821 9.897 3.679
1.416 7.214 4.776
-3.589 7.953 11.793
3.592 2.158 2.240
-1.412 2.897 9.257
-1.818 0.214 10.354
3.187 4.842 3.337
-0.659 5.929 8.961
4.345 9.238 1.945
-3.179 5.698 13.577
1.825 9.468 6.561
0.666 0.874 8.965
5.670 4.182 1.948
1.831 5.698 7.474
6.836 9.469 0.457
6.425 7.218 2.245
1.420 7.949 9.262
-1.277 1.369 13.153
3.728 3.687 6.137
4.226 6.710 5.846
-0.779 8.457 12.862
1.821 5.263 10.354
6.826 9.904 3.337
3.729 1.368 7.903
8.733 3.688 0.886
5.794 1.658 5.857
0.789 3.397 12.873
```

## Properties
DOS(E_F) = 0.0 states/eV/f.u.

Which is the most stable structure? 1 is the most stable.

1 | Crystalline NaInIN2 at its relaxed geometry, computed with PBEsol.

POSCAR file:
```
NaInIN2
1.0
4.312 0.000 0.000
0.000 4.312 0.000
0.000 0.000 6.288
Na In I N
1 1 1 2
Cartesian
0.000 0.000 0.000
2.156 2.156 3.144
2.156 2.156 0.000
0.000 2.156 3.144
2.156 0.000 3.144
```

## Properties
DOS(E_F) = 2.4 states/eV/f.u.

2 | Crystalline NaInIN2 at its relaxed geometry, computed with PBEsol.

POSCAR file:
```
NaInIN2
1.0
4.764 0.000 0.000
0.000 4.764 0.000
0.000 0.000 5.903
Na In I N
1 1 1 2
Cartesian
0.000 0.000 0.000
2.382 2.382 2.952
0.000 0.000 2.952
0.000 2.382 0.000
2.382 0.000 0.000
```

## Properties
DOS(E_F) = 2.3 states/eV/f.u.

Which is the most stable structure? 1 is the most stable.

1 | Crystalline InOsI2N at its relaxed geometry, computed with PBEsol.

POSCAR file:
```
InOsI2N
1.0
5.627 0.000 0.000
0.000 5.627 0.000
0.000 0.000 3.742
In Os I N
1 1 2 1
Cartesian
0.000 0.000 0.000
2.814 2.814 1.871
0.000 2.814 1.871
2.814 0.000 1.871
2.814 2.814 0.000
```

## Properties
DOS(E_F) = 2.4 states/eV/f.u.

2 | Crystalline InOsI2N at its relaxed geometry, computed with PBEsol.

POSCAR file:
```
InOsI2N
1.0
5.809 0.000 0.000
0.000 5.809 0.000
0.000 0.000 3.885
In Os I N
1 1 2 1
Cartesian
0.000 0.000 0.000
2.905 2.905 1.943
0.000 2.905 0.000
2.905 0.000 0.000
0.000 0.000 1.943
```

## Properties
DOS(E_F) = 5.7 states/eV/f.u.

Which is the most stable structure? 1 is the most stable.